[1]
AcPO3 | PBE | relaxed

a b c (Å): 4.5965 4.5965 8.8159
angles (deg): 90.00 90.00 113.73
Positions (direct):
Ac1 0.1194 0.1194 0.0000
Ac2 0.1194 0.1194 0.5000
P1 0.6449 0.4926 0.7500
P2 0.4926 0.6449 0.2500
O1 0.7120 0.3301 0.5997
O2 0.8381 0.9333 0.2500
O3 0.9333 0.8381 0.7500
O4 0.3301 0.7120 0.4003
O5 0.3301 0.7120 0.0997
O6 0.7120 0.3301 0.9003

Results
**Formation energy without anion corrections**: -2737 meV/atom
**Spin magnetization**: 0.0 μB per formula unit
**V**: 170.5 Å³/cell

***

[2]
Ac2PO | PBE | relaxed

a b c (Å): 6.0580 6.0660 11.4436
angles (deg): 91.34 90.00 90.00
Positions (direct):
O1 0.8071 0.0547 0.1240
O2 0.8071 0.4453 0.3760
O3 0.1929 0.9453 0.8760
O4 0.1929 0.5547 0.6240
Ac1 0.7708 0.9980 0.8884
Ac2 0.2292 0.0020 0.1116
Ac3 0.7708 0.5020 0.6116
Ac4 0.2292 0.4980 0.3884
Ac5 0.2392 0.9737 0.6382
Ac6 0.7608 0.0263 0.3618
Ac7 0.2392 0.5263 0.8618
Ac8 0.7608 0.4737 0.1382
P1 0.7411 0.0001 0.6250
P2 0.7411 0.4999 0.8750
P3 0.2589 0.9999 0.3750
P4 0.2589 0.5001 0.1250

Results
**Formation energy without anion corrections**: -1959 meV/atom
**Energy relative to the lowest polymorph listed for this composition**: 0.0281 eV per atom
**Spin magnetization**: 0.0 μB per formula unit
**V**: 420.4 Å³/cell

***

The lowest V belongs to which entry? AcPO3